{"formula": "SrSCl2O", "functional": "SCAN", "state": "PBEsol geometry", "lattice_angstrom": [[4.6941, 0.0000, 0.0000], [0.0000, 4.6941, 0.0000], [0.0000, 0.0000, 4.1478]], "species": ["Sr", "S", "Cl", "Cl", "O"], "frac_coords": [[0.0000, 0.0000, 0.0000], [0.5000, 0.5000, 0.0000], [0.0000, 0.5000, 0.5000], [0.5000, 0.0000, 0.5000], [0.5000, 0.5000, 0.5000]], "spacegroup": "P4/mmm, No. 123", "volume_a3_per_cell": 91, "formation_energy_uncorrected_ev_per_atom": -0.80, "polymorph_energy_mev_per_atom": 0}